Record 1
The following is a PBE-GGA calculation of a geometry-optimized PmSiHg structure, from Alexandria via LeMat-Bulk.

Cell lengths 4.381, 4.381, 4.237 Å; angles 90.00, 90.00, 120.00 degrees
Positions (direct):
1 Pm 0.000 0.000 0.000
2 Si 0.333 0.667 0.469
3 Hg 0.667 0.333 0.523

* symmetry: P3m1, No. 156
* energy relative to the lowest polymorph listed for this composition: 104 meV/atom
* uncorrected formation energy: -0.46 eV/atom

Record 2
The following is a PBE-GGA calculation of a geometry-optimized Pm3Si4Hg structure, from Alexandria via LeMat-Bulk.

Cell lengths 8.482, 8.482, 8.482 Å; angles 150.45, 138.90, 51.43 degrees
Positions (direct):
1 Pm 0.000 0.000 0.000
2 Pm 0.311 0.811 0.500
3 Pm 0.689 0.189 0.500
4 Si 0.066 0.373 0.693
5 Si 0.321 0.627 0.693
6 Si 0.679 0.373 0.307
7 Si 0.934 0.627 0.307
8 Hg 0.500 0.500 0.000

* symmetry: Immm, No. 71
* uncorrected formation energy: -0.46 eV/atom

Record 3
The following is a PBE-GGA calculation of a geometry-optimized Pm5Si2Hg structure, from Alexandria via LeMat-Bulk.

Cell lengths 9.196, 9.196, 9.196 Å; angles 130.30, 130.30, 72.93 degrees
Positions (direct):
1 Pm 0.000 0.000 0.000
2 Pm 0.036 0.536 0.850
3 Pm 0.186 0.036 0.500
4 Pm 0.314 0.814 0.850
5 Pm 0.464 0.314 0.500
6 Pm 0.500 0.500 0.000
7 Pm 0.536 0.686 0.500
8 Pm 0.686 0.186 0.150
9 Pm 0.814 0.964 0.500
10 Pm 0.964 0.464 0.150
11 Si 0.117 0.383 0.500
12 Si 0.383 0.883 0.266
13 Si 0.617 0.117 0.734
14 Si 0.883 0.617 0.500
15 Hg 0.250 0.250 0.000
16 Hg 0.750 0.750 0.000

* symmetry: I4/mcm, No. 140
* uncorrected formation energy: -0.54 eV/atom

Record 4
The following is a PBE-GGA calculation of a geometry-optimized Pm4Si2Hg5 structure, from Alexandria via LeMat-Bulk.

Cell lengths 7.663, 4.103, 8.986 Å; angles 90.00, 91.97, 90.00 degrees
Positions (direct):
1 Pm 0.193 0.000 0.348
2 Pm 0.232 0.000 0.918
3 Pm 0.768 0.000 0.082
4 Pm 0.807 0.000 0.652
5 Si 0.062 0.500 0.122
6 Si 0.938 0.500 0.878
7 Hg 0.146 0.500 0.629
8 Hg 0.442 0.500 0.162
9 Hg 0.500 0.500 0.500
10 Hg 0.558 0.500 0.838
11 Hg 0.854 0.500 0.371

* symmetry: P2/m, No. 10
* uncorrected formation energy: -0.49 eV/atom

Record 5
The following is a PBE-GGA calculation of a geometry-optimized PmSiHg structure, from Alexandria via LeMat-Bulk.

Cell lengths 4.746, 4.746, 4.746 Å; angles 60.00, 60.00, 60.00 degrees
Positions (direct):
1 Pm 0.000 0.000 0.000
2 Si 0.250 0.250 0.250
3 Hg 0.500 0.500 0.500

* symmetry: F-43m, No. 216
* energy relative to the lowest polymorph listed for this composition: 291 meV/atom
* uncorrected formation energy: -0.27 eV/atom

Record 6
The following is a PBE-GGA calculation of a geometry-optimized PmSi2Hg structure, from Alexandria via LeMat-Bulk.

Cell lengths 3.176, 5.454, 5.454 Å; angles 65.28, 90.00, 90.00 degrees
Positions (direct):
1 Pm 0.000 0.000 0.000
2 Si 0.500 0.066 0.481
3 Si 0.500 0.481 0.066
4 Hg 0.500 0.551 0.551

* symmetry: Amm2, No. 38
* energy relative to the lowest polymorph listed for this composition: 78 meV/atom
* uncorrected formation energy: -0.11 eV/atom

Record 7
The following is a PBE-GGA calculation of a geometry-optimized Pm4Si2Hg structure, from Alexandria via LeMat-Bulk.

Cell lengths 7.905, 7.897, 9.090 Å; angles 54.93, 54.84, 70.23 degrees
Positions (direct):
1 Pm 0.073 0.927 0.173
2 Pm 0.077 0.423 0.177
3 Pm 0.193 0.539 0.707
4 Pm 0.423 0.077 0.323
5 Pm 0.539 0.193 0.561
6 Pm 0.543 0.689 0.057
7 Pm 0.689 0.543 0.711
8 Pm 0.927 0.073 0.827
9 Si 0.175 0.441 0.442
10 Si 0.308 0.808 0.809
11 Si 0.441 0.175 0.942
12 Si 0.808 0.308 0.075
13 Hg 0.683 0.683 0.317
14 Hg 0.933 0.933 0.567

* symmetry: Fdd2, No. 43
* uncorrected formation energy: -0.53 eV/atom

Record 8
The following is a PBE-GGA calculation of a geometry-optimized Pm6Si2Hg structure, from Alexandria via LeMat-Bulk.

Cell lengths 8.729, 8.729, 8.729 Å; angles 111.19, 110.31, 106.95 degrees
Positions (direct):
1 Pm 0.044 0.247 0.797
2 Pm 0.179 0.273 0.453
3 Pm 0.179 0.727 0.906
4 Pm 0.324 0.028 0.704
5 Pm 0.324 0.619 0.296
6 Pm 0.449 0.247 0.203
7 Pm 0.551 0.753 0.797
8 Pm 0.676 0.381 0.704
9 Pm 0.676 0.972 0.296
10 Pm 0.821 0.273 0.094
11 Pm 0.821 0.727 0.547
12 Pm 0.956 0.753 0.203
13 Si 0.115 0.615 0.500
14 Si 0.367 0.000 0.367
15 Si 0.633 0.000 0.633
16 Si 0.885 0.385 0.500
17 Hg 0.000 0.000 0.000
18 Hg 0.500 0.500 0.000

* symmetry: Immm, No. 71
* uncorrected formation energy: -0.47 eV/atom